A plane-wave DFT calculation with PBE was carried out for a relaxed CaSn3Pd2 crystal.

abc: 8.1188 8.1188 8.1188
angles: 48.11 48.11 48.11
With the nearest neighbours (Å) after each atom.
Positions (direct):
Ca1 0.2185 0.2185 0.2185  3 Pd 3.12, 9 Sn 3.32-3.34
Ca2 0.7815 0.7815 0.7815  3 Pd 3.12, 9 Sn 3.32-3.34
Sn1 0.2485 0.7354 0.7354  3 Pd 2.76-2.81
Sn2 0.2646 0.2646 0.7515  3 Pd 2.76-2.81
Sn3 0.2646 0.7515 0.2646  3 Pd 2.76-2.81
Sn4 0.7354 0.2485 0.7354  3 Pd 2.76-2.81
Sn5 0.7354 0.7354 0.2485  3 Pd 2.76-2.81
Sn6 0.7515 0.2646 0.2646  3 Pd 2.76-2.81
Pd1 0.0000 0.0000 0.0000  6 Sn 2.81
Pd2 0.0000 0.5000 0.5000  4 Sn 2.76
Pd3 0.5000 0.0000 0.5000  4 Sn 2.76
Pd4 0.5000 0.5000 0.0000  4 Sn 2.76

Output
Uncorrected energy, eV/atom: -4.51
Density of states at the Fermi level, states/eV per atom: 0.65
Distance to the lowest polymorph of the same formula, meV per atom: 108

=====

A plane-wave DFT calculation with PBE was carried out for a relaxed Ca2Sn3Pd5 crystal.

abc: 12.8471 12.8471 7.1321
angles: 90.00 90.00 159.76
With the nearest neighbours (Å) after each atom.
Positions (direct):
Ca1 0.0193 0.9807 0.5000  5 Sn 3.08-3.21, 8 Pd 3.18-3.41
Ca2 0.3205 0.6795 0.6089  8 Pd 2.99-3.21
Ca3 0.6795 0.3205 0.1089  8 Pd 2.99-3.21
Ca4 0.9807 0.0193 0.0000  5 Sn 3.08-3.21, 8 Pd 3.18-3.41
Sn1 0.1190 0.8810 0.7474  6 Pd 2.67-2.88
Sn2 0.2796 0.7204 0.1469  7 Pd 2.61-2.84
Sn3 0.4512 0.5488 0.7100  5 Pd 2.69-2.77
Sn4 0.5488 0.4512 0.2100  5 Pd 2.69-2.77
Sn5 0.7204 0.2796 0.6469  7 Pd 2.61-2.84
Sn6 0.8810 0.1190 0.2474  6 Pd 2.67-2.88
Pd1 0.1025 0.8975 0.1339  3 Sn 2.69-2.79, 2 Ca 2.99
Pd2 0.1983 0.8017 0.4214  4 Sn 2.83-3.07, 5 Pd 3.05-3.10
Pd3 0.2206 0.7794 0.8468  4 Sn 2.61-2.67
Pd4 0.3797 0.6203 0.9969  4 Sn 2.73-2.88, 3 Pd 2.89-3.05
Pd5 0.4446 0.5554 0.3302  4 Sn 2.71-2.83, 1 Pd 2.89
Pd6 0.5554 0.4446 0.8302  4 Sn 2.71-2.83, 1 Pd 2.89
Pd7 0.6203 0.3797 0.4969  4 Sn 2.73-2.88, 3 Pd 2.89-3.05
Pd8 0.7794 0.2206 0.3468  4 Sn 2.61-2.67
Pd9 0.8017 0.1983 0.9214  4 Sn 2.83-3.07, 5 Pd 3.05-3.10
Pd10 0.8975 0.1025 0.6339  3 Sn 2.69-2.79, 2 Ca 2.99

Output
Uncorrected energy, eV/atom: -4.87
Density of states at the Fermi level, states/eV per atom: 0.40
Distance to the lowest polymorph of the same formula, meV per atom: 0

=====

A plane-wave DFT calculation with PBE was carried out for a relaxed CaSn3Pd3 crystal.

abc: 7.3246 7.3246 7.3246
angles: 90.00 90.00 90.00
With the nearest neighbours (Å) after each atom.
Positions (direct):
Ca1 0.0000 0.0000 0.0000  12 Sn 4.09, 12 Pd 4.09
Ca2 0.5000 0.5000 0.5000  12 Sn 4.09, 12 Pd 4.09
Sn1 0.0000 0.2500 0.5000  4 Pd 2.59
Sn2 0.0000 0.7500 0.5000  4 Pd 2.59
Sn3 0.2500 0.5000 0.0000  4 Pd 2.59
Sn4 0.5000 0.0000 0.2500  4 Pd 2.59
Sn5 0.5000 0.0000 0.7500  4 Pd 2.59
Sn6 0.7500 0.5000 0.0000  4 Pd 2.59
Pd1 0.0000 0.5000 0.2500  4 Sn 2.59
Pd2 0.0000 0.5000 0.7500  4 Sn 2.59
Pd3 0.2500 0.0000 0.5000  4 Sn 2.59
Pd4 0.5000 0.2500 0.0000  4 Sn 2.59
Pd5 0.5000 0.7500 0.0000  4 Sn 2.59
Pd6 0.7500 0.0000 0.5000  4 Sn 2.59

Output
Uncorrected energy, eV/atom: -4.46
Density of states at the Fermi level, states/eV per atom: 0.65
Distance to the lowest polymorph of the same formula, meV per atom: 314

=====

A plane-wave DFT calculation with PBE was carried out for a relaxed CaSnPd crystal.

abc: 7.3671 4.6633 8.0482
angles: 90.00 90.00 90.00
With the nearest neighbours (Å) after each atom.
Positions (direct):
Ca1 0.0182 0.2500 0.1900  5 Pd 3.10-3.34, 6 Sn 3.30-3.39
Ca2 0.4818 0.7500 0.6900  5 Pd 3.10-3.34, 6 Sn 3.30-3.39
Ca3 0.5182 0.2500 0.3100  5 Pd 3.10-3.34, 6 Sn 3.30-3.39
Ca4 0.9818 0.7500 0.8100  5 Pd 3.10-3.34, 6 Sn 3.30-3.39
Sn1 0.1718 0.2500 0.5755  4 Pd 2.73-2.81
Sn2 0.3282 0.7500 0.0755  4 Pd 2.73-2.81
Sn3 0.6718 0.2500 0.9245  4 Pd 2.73-2.81
Sn4 0.8282 0.7500 0.4245  4 Pd 2.73-2.81
Pd1 0.2085 0.7500 0.3967  4 Sn 2.73-2.81
Pd2 0.2915 0.2500 0.8967  4 Sn 2.73-2.81
Pd3 0.7085 0.7500 0.1033  4 Sn 2.73-2.81
Pd4 0.7915 0.2500 0.6033  4 Sn 2.73-2.81

Output
Uncorrected energy, eV/atom: -4.54
Density of states at the Fermi level, states/eV per atom: 0.36

=====

Computed formation energy from the elements (kJ/mol of formula units) in order:
-259; -647; -155; -234
Computed volume (Å³ per atom) in order:
22.6; 20.4; 28.1; 23.0